This record from Alexandria describes K6CuAs2 after structural relaxation. The functional is PBE.

Properties
The formation energy is -0.237 eV/atom. As for the density of states at the Fermi level: 0.26 states/eV/atom. As for the crystal system: trigonal. Its mass density is 2310 kg/m3.

a b c (Å): 5.911 5.911 11.178
angles (deg): 74.67 74.67 60.00
Sites, in units of the cell vectors:
1 K 0.699 0.699 0.902
2 K 0.579 0.579 0.263
3 K 0.817 0.817 0.550
4 K 0.301 0.301 0.098
5 K 0.183 0.183 0.450
6 K 0.421 0.421 0.737
7 As 0.074 0.074 0.778
8 As 0.926 0.926 0.222
9 Cu 0.000 0.000 0.000